No. 1
The following is a DFT calculation (PBE) of HfBe2Cr after structural relaxation.

Summary:
Calculated volume ... 12.879 Å³ per atom
Total magnetization ... 0.610 μB per atom
DFT formation energy ... 0.21 eV per formula unit

Structure (POSCAR):
```
HfBe2Cr
1.0
0.0000 2.9533 2.9533
2.9533 0.0000 2.9533
2.9533 2.9533 0.0000
Hf Be Cr
1 2 1
Cartesian
2.9533 2.9533 2.9533
1.4766 1.4766 1.4766
4.4299 4.4299 4.4299
0.0000 0.0000 0.0000
```

=====

No. 2
The following is a DFT calculation (PBE) of YSbBr2 after structural relaxation.

Summary:
Calculated volume ... 27.433 Å³ per atom
Total magnetization ... 0.100 μB per atom
ΔE_f (raw) ... -0.47 eV per atom

Structure (POSCAR):
```
YSbBr2
1.0
-0.5960 -3.1110 4.3410
-0.9503 -5.2581 -0.5725
3.8016 -3.5733 1.2873
Y Sb Br
1 1 2
Cartesian
1.6914 -8.9568 3.7919
1.1276 -5.9712 2.5279
0.5638 -2.9856 1.2640
0.0000 0.0000 0.0000
```

=====

No. 3
The following is a DFT calculation (PBE) of YPaInTc after structural relaxation.

Summary:
Calculated volume ... 23.260 Å³ per atom
Total magnetization ... 0.000 μB per atom
DFT formation energy ... 0.08 eV per formula unit

Structure (POSCAR):
```
YPaInTc
1.0
-1.0303 1.1576 4.8444
-2.1079 -3.4792 3.0532
2.7333 -2.0835 3.7493
Y In Pa Tc
1 1 1 1
Cartesian
0.0000 0.0000 0.0000
-0.3036 -3.3038 8.7352
-0.2024 -2.2026 5.8234
-0.1012 -1.1013 2.9117
```

=====

No. 4
The following is a DFT calculation (PBE) of La3SnIr after structural relaxation.

Summary:
Calculated volume ... 34.537 Å³ per atom
Total magnetization ... 0.000 μB per atom
DFT formation energy ... -2.91 eV per formula unit

Structure (POSCAR):
```
La3SnIr
1.0
-5.3352 -1.4863 0.5803
1.5793 -4.6308 2.6592
-0.2272 2.7122 4.8582
La Sn Ir
3 1 1
Cartesian
-0.1136 1.3561 2.4291
-2.6676 -0.7432 0.2901
0.7897 -2.3154 1.3296
-1.9915 -1.7024 4.0488
0.0000 0.0000 0.0000
```

=====

No. 5
The following is a DFT calculation (PBE) of HfMg2PtO after structural relaxation.

Summary:
Calculated volume ... 15.100 Å³ per atom
Total magnetization ... 0.000 μB per atom
ΔE_f (raw) ... -1.36 eV per atom

Structure (POSCAR):
```
HfMg2PtO
1.0
4.0919 0.0000 0.0000
0.0000 4.5094 0.0000
0.0000 0.0000 4.0919
O Hf Mg Pt
1 1 2 1
Cartesian
0.0000 0.0000 0.0000
0.0000 2.2547 0.0000
2.0459 0.0000 0.0000
0.0000 0.0000 2.0459
2.0459 2.2547 2.0459
```

=====

No. 6
The following is a DFT calculation (PBE) of La6PS4 after structural relaxation.

Summary:
Calculated volume ... 26.514 Å³ per atom
Total magnetization ... 0.000 μB per atom
ΔE_f (raw) ... -1.81 eV per atom

Structure (POSCAR):
```
La6PS4
1.0
4.1038 0.0000 0.0000
-2.0519 6.8655 0.0000
0.0000 0.0000 20.7036
La S P
12 8 2
Cartesian
2.0519 0.0000 10.3518
2.0519 6.0687 13.9144
2.0519 3.7498 1.8747
0.0000 0.7968 6.7892
0.0000 3.1157 12.2265
0.0000 3.1157 18.8289
0.0000 0.7968 3.5626
0.0000 4.5682 5.1759
2.0519 3.7498 8.4771
2.0519 2.2973 15.5277
2.0519 0.0000 0.0000
2.0519 6.0687 17.1410
0.0000 5.7186 7.7451
2.0519 1.1468 12.9585
2.0519 1.1468 18.0968
0.0000 1.9082 9.5031
2.0519 4.9573 19.8549
2.0519 4.9573 11.2004
0.0000 5.7186 2.6067
0.0000 1.9082 0.8486
2.0519 2.4545 5.1759
0.0000 4.4110 15.5277
```